Material: K2Mn2Zn4Si4O15
Method: DFT, PBE+U
State: relaxed

Lattice parameters (Å, degrees): 9.1719 15.9575 5.2781 90.00 90.00 90.00
Closest atoms and distances in Å follow each position.
Space group Imm2 (No. 44)
One atom of each set of equivalent atoms:
K 0.0000 0.1165 0.0000 x4  6 O 2.68-2.98
Mn 0.1591 0.5000 0.5445 x4  5 O 2.02-2.22
Zn 0.1888 0.3066 0.9058 x8  4 O 1.92-2.06
Si 0.0000 0.3066 0.4180 x4  4 O 1.62-1.68
Si 0.1715 0.0000 0.4918 x4  4 O 1.60-1.66
O 0.0000 0.0000 0.3915 x2  2 Si 1.66
O 0.0000 0.2853 0.1069 x4  1 Si 1.68
O 0.0000 0.4069 0.4709 x4  1 Si 1.62
O 0.1479 0.2634 0.5495 x8  1 Si 1.67
O 0.1744 0.0000 0.7952 x4  1 Si 1.60
O 0.2478 0.0802 0.3480 x8  1 Si 1.64

Raw total energy, eV for the cell shown: -353.4